This record from Alexandria via LeMat-Bulk describes crystalline CaBeCu2 at its relaxed geometry. The functional is PBE.

The structure in POSCAR format:
```
CaBeCu2
1.0
4.221 0.000 0.000
0.000 4.221 0.000
0.000 0.000 3.667
Ca Be Cu
1 1 2
Direct
0.000 0.000 0.000 Ca
0.500 0.500 0.000 Be
0.000 0.500 0.500 Cu
0.500 0.000 0.500 Cu
```

Properties
Density of states at the Fermi level   2.3 states/eV/cell
ΔE_f   371 meV/atom